Entry 1:
# ThSi2Pt3, relaxed, DFT PBE-GGA
# Energy: -7.047 eV/atom
# ΔE_f (raw): -5.89 eV/f.u.
data_ThSi2Pt3
_symmetry_space_group_name_H-M 'P 1'
_symmetry_Int_Tables_number 1
_cell_length_a 4.116
_cell_length_b 7.942
_cell_length_c 8.420
_cell_angle_alpha 54.41
_cell_angle_beta 75.85
_cell_angle_gamma 74.98
loop_
_symmetry_equiv_pos_as_xyz
'x,y,z'
loop_
_atom_site_label
_atom_site_type_symbol
_atom_site_fract_x
_atom_site_fract_y
_atom_site_fract_z
Th1 Th 0.843 0.237 0.077
Th2 Th 0.157 0.763 0.923
Si1 Si 0.517 0.134 0.833
Si2 Si 0.483 0.866 0.167
Si3 Si 0.816 0.700 0.668
Si4 Si 0.184 0.300 0.332
Pt1 Pt 0.389 0.498 0.725
Pt2 Pt 0.037 0.272 0.653
Pt3 Pt 0.681 0.062 0.575
Pt4 Pt 0.319 0.938 0.425
Pt5 Pt 0.963 0.728 0.347
Pt6 Pt 0.611 0.502 0.275

---

Entry 2:
# Dy5Er4Tl, relaxed, DFT PBE-GGA
# Energy: -4.135 eV/atom
# Formation energy from the elements: 0.23 eV per atom
# Offset from the most stable computed form: 0.2790 eV per atom
data_Dy5Er4Tl
_symmetry_space_group_name_H-M 'P 1'
_symmetry_Int_Tables_number 1
_cell_length_a 6.147
_cell_length_b 7.857
_cell_length_c 7.857
_cell_angle_alpha 81.20
_cell_angle_beta 66.97
_cell_angle_gamma 66.97
loop_
_symmetry_equiv_pos_as_xyz
'x,y,z'
loop_
_atom_site_label
_atom_site_type_symbol
_atom_site_fract_x
_atom_site_fract_y
_atom_site_fract_z
Dy1 Dy 0.816 0.375 0.918
Dy2 Dy 0.190 0.918 0.625
Dy3 Dy 0.734 0.082 0.375
Dy4 Dy 0.109 0.625 0.082
Dy5 Dy 0.645 0.000 0.000
Er1 Er 0.415 0.392 0.697
Er2 Er 0.807 0.697 0.608
Er3 Er 0.111 0.303 0.392
Er4 Er 0.503 0.608 0.303
Tl1 Tl 0.180 0.000 0.000